Compound: SrAl2Mo
Source: Alexandria via LeMat-Bulk
Functional: GGA-PBE
Structure: optimized geometry

Its energy of formation from the pure elements is 0.5367 eV/atom. Its density of states at the Fermi level is 0.35 states/eV per atom.

The space group is R3m (No. 160, hexagonal axes) and the conventional cell measures 3.0495, 3.0495 and 30.0340 Å, with angles of 90.00, 90.00 and 120.00 degrees. The inequivalent atoms are Sr at (0.0000, 0.0000, 0.0000), Al at (0.0000, 0.0000, 0.2371), Al at (0.0000, 0.0000, 0.4953) and Mo at (0.0000, 0.0000, 0.7589).



Compound: SrAlMo2
Source: Alexandria via LeMat-Bulk
Functional: GGA-PBE
Structure: optimized geometry

Its energy of formation from the pure elements is 0.9002 eV/atom. Its density of states at the Fermi level is 0.87 states/eV per atom.

The space group is P4/mmm (No. 123) and the conventional cell measures 4.0879, 4.0879 and 4.7431 Å, with angles of 90.00, 90.00 and 90.00 degrees. The inequivalent atoms are Sr at (0.0000, 0.0000, 0.0000), Al at (0.5000, 0.5000, 0.0000) and Mo at (0.0000, 0.5000, 0.5000).



Compound: SrAlMo2
Source: Alexandria via LeMat-Bulk
Functional: GGA-PBE
Structure: optimized geometry

Its energy of formation from the pure elements is 0.8570 eV/atom. Its density of states at the Fermi level is 0.78 states/eV per atom.

The space group is I-42d (No. 122) and the conventional cell measures 4.5550, 4.5550 and 19.2698 Å, with angles of 90.00, 90.00 and 90.00 degrees. The inequivalent atoms are Sr at (0.0000, 0.0000, 0.0000), Al at (0.0000, 0.0000, 0.5000) and Mo at (0.0818, 0.2500, 0.6250).



Compound: SrAl2Mo
Source: Alexandria via LeMat-Bulk
Functional: GGA-PBE
Structure: optimized geometry

Its energy of formation from the pure elements is 0.5722 eV/atom. Its density of states at the Fermi level is 0.74 states/eV per atom.

The space group is P4/mmm (No. 123) and the conventional cell measures 4.4383, 4.4383 and 4.3477 Å, with angles of 90.00, 90.00 and 90.00 degrees. The inequivalent atoms are Sr at (0.0000, 0.0000, 0.0000), Al at (0.0000, 0.5000, 0.5000) and Mo at (0.5000, 0.5000, 0.0000).



Compound: Sr2AlMo
Source: Alexandria via LeMat-Bulk
Functional: GGA-PBE
Structure: optimized geometry

Its energy of formation from the pure elements is 0.9842 eV/atom. Its density of states at the Fermi level is 0.96 states/eV per atom.

The space group is I-42d (No. 122) and the conventional cell measures 8.6829, 8.6829 and 6.0979 Å, with angles of 90.00, 90.00 and 90.00 degrees. The inequivalent atoms are Sr at (0.2389, 0.7500, 0.1250), Al at (0.0000, 0.0000, 0.5000) and Mo at (0.0000, 0.0000, 0.0000).



Compound: SrAl2Mo
Source: Alexandria via LeMat-Bulk
Functional: GGA-PBE
Structure: optimized geometry

Its energy of formation from the pure elements is 0.3989 eV/atom. Its density of states at the Fermi level is 0.67 states/eV per atom.

The space group is Fm-3m (No. 225) and the conventional cell measures 6.9208, 6.9208 and 6.9208 Å, with angles of 90.00, 90.00 and 90.00 degrees. The inequivalent atoms are Sr at (0.0000, 0.0000, 0.0000), Al at (0.2500, 0.2500, 0.2500) and Mo at (0.0000, 0.0000, 0.5000).



Compound: SrAlMo3
Source: Alexandria via LeMat-Bulk
Functional: GGA-PBE
Structure: optimized geometry

Its energy of formation from the pure elements is 2.9084 eV/atom. Its density of states at the Fermi level is 1.69 states/eV per atom.

The space group is Pm-3m (No. 221) and the conventional cell measures 4.7800, 4.7800 and 4.7800 Å, with angles of 90.00, 90.00 and 90.00 degrees. The inequivalent atoms are Sr at (0.0000, 0.0000, 0.0000), Al at (0.5000, 0.5000, 0.5000) and Mo at (0.0000, 0.0000, 0.5000).



Compound: SrAlMo2
Source: Alexandria via LeMat-Bulk
Functional: GGA-PBE
Structure: optimized geometry

Its energy of formation from the pure elements is 0.8659 eV/atom. Its density of states at the Fermi level is 0.84 states/eV per atom.

The space group is Cmmm (No. 65) and the conventional cell measures 5.8347, 9.6288 and 2.7435 Å, with angles of 90.00, 90.00 and 90.00 degrees. The inequivalent atoms are Sr at (0.0000, 0.0000, 0.0000), Al at (0.0000, 0.5000, 0.0000) and Mo at (0.2500, 0.2500, 0.5000).